LiTmPuFe, optimized geometry, DFT PBE-GGA; size of the total moment = 4.648 Bohr magnetons per cell; space-group type = F-43m (216); calculated formation energy = 162 meV per atom
1.0
0.000 3.403 3.403
3.403 0.000 3.403
3.403 3.403 0.000
Li Tm Pu Fe
1 1 1 1
direct
0.000 0.000 0.000 Li
0.250 0.250 0.250 Tm
0.750 0.750 0.750 Pu
0.500 0.500 0.500 Fe

---

MnCoTc2, optimized geometry, DFT PBE-GGA; energy above the most stable polymorph in this dataset = 86 meV per atom; size of the total moment = 1.551 Bohr magnetons per cell; space-group type = Cm (8); calculated formation energy = 84 meV per atom
1.0
4.333 -1.314 0.000
4.333 1.314 0.000
-0.750 0.000 4.509
Mn Co Tc
1 1 2
direct
0.000 0.000 0.000 Mn
0.746 0.746 0.248 Co
0.250 0.250 0.756 Tc
0.490 0.490 0.473 Tc

---

Li2ZrCr, optimized geometry, DFT PBE-GGA; energy above the most stable polymorph in this dataset = 348 meV per atom; size of the total moment = 3.134 Bohr magnetons per cell; space-group type = I-42d (122); calculated formation energy = 660 meV per atom
1.0
-3.686 3.686 2.527
3.686 -3.686 2.527
3.686 3.686 -2.527
Li Zr Cr
4 2 2
direct
0.096 0.625 0.971 Li
0.375 0.346 0.471 Li
0.654 0.125 0.029 Li
0.875 0.904 0.529 Li
0.250 0.750 0.500 Zr
0.500 0.500 0.000 Zr
0.000 0.000 0.000 Cr
0.750 0.250 0.500 Cr

---

CdHg3Br, optimized geometry, DFT PBE-GGA; energy above the most stable polymorph in this dataset = 0 meV per atom; formation energy without anion corrections = -0.07 eV/atom; size of the total moment = 0.000 Bohr magnetons per cell; space-group type = Pm-3m (221)
1.0
5.598 0.000 0.000
0.000 5.598 0.000
0.000 0.000 5.598
Cd Hg Br
1 3 1
direct
0.000 0.000 0.000 Cd
0.000 0.000 0.500 Hg
0.000 0.500 0.000 Hg
0.500 0.000 0.000 Hg
0.500 0.500 0.500 Br